i) Compound: La2Br2O
Source: Alexandria
Functional: PBE
Structure: optimized geometry

a = 4.4951 Å, b = 4.4951 Å, c = 14.0009 Å
α = 90.00°, β = 90.00°, γ = 90.00°
Last column: nearest neighbours and their distance in Å.
Space group P4/mmm (No. 123)
Asymmetric unit:
La 0.0000 0.0000 0.1515 x2  1 O 2.12
Br 0.0000 0.0000 0.3468 x2  1 La 2.73
O 0.0000 0.0000 0.0000 x1  2 La 2.12


ii) Compound: La2Br2O
Source: Alexandria
Functional: PBE
Structure: optimized geometry

a = 10.7921 Å, b = 7.3872 Å, c = 6.9119 Å
α = 90.00°, β = 107.91°, γ = 90.00°
Last column: nearest neighbours and their distance in Å.
Space group P2_1/c (No. 14)
Asymmetric unit:
La 0.0033 0.1460 0.2606 x4  3 O 2.51-2.64
La 0.3060 0.5219 0.1410 x4  1 O 2.17
Br 0.2123 0.5896 0.6671 x4  5 La 3.07-3.19
Br 0.4687 0.2370 0.9922 x4  4 La 3.11-3.36, 2 Br 3.46
O 0.1284 0.1188 0.6352 x4  1 La 2.17


The most stable arrangement is ii), and the next structure is 0.785 eV/atom less stable.


i) Compound: ReTc2Pt
Source: Alexandria
Functional: PBE
Structure: optimized geometry

a = 2.7539 Å, b = 2.7539 Å, c = 27.2255 Å
α = 90.00°, β = 90.00°, γ = 120.00°
Last column: nearest neighbours and their distance in Å.
Space group R-3m (No. 166, hexagonal axes)
Asymmetric unit:
Re 0.0000 0.0000 0.0000 x3  6 Tc 2.73, 6 Re 2.75
Tc 0.0000 0.0000 0.2517 x6  3 Re 2.73, 6 Tc 2.75, 3 Pt 2.81
Pt 0.0000 0.0000 0.5000 x3  6 Pt 2.75, 6 Tc 2.81


ii) Compound: ReTc2Pt
Source: Alexandria
Functional: PBE
Structure: optimized geometry

a = 9.1950 Å, b = 2.7563 Å, c = 4.7722 Å
α = 90.00°, β = 100.42°, γ = 90.00°
Last column: nearest neighbours and their distance in Å.
Space group Cm (No. 8)
Asymmetric unit:
Re 0.0000 0.0000 0.0000 x2  7 Tc 2.65-2.86, 2 Re 2.76, 3 Pt 2.78-2.79
Tc 0.0082 0.5000 0.5280 x2  4 Re 2.65-2.86, 5 Tc 2.70-2.77, 3 Pt 2.78-2.82
Tc 0.2530 0.0000 0.7604 x2  5 Tc 2.70-2.77, 3 Re 2.73-2.77, 4 Pt 2.75-2.76
Pt 0.2528 0.5000 0.2612 x2  7 Tc 2.75-2.82, 2 Pt 2.76, 3 Re 2.78-2.79


The most stable arrangement is i), and the next structure is 0.013 eV/atom less stable.


i) Compound: CdIn2As
Source: Alexandria
Functional: PBE
Structure: optimized geometry

a = 3.4698 Å, b = 3.4698 Å, c = 8.1518 Å
α = 90.00°, β = 90.00°, γ = 90.00°
Last column: nearest neighbours and their distance in Å.
Space group P4mm (No. 99)
Asymmetric unit:
Cd 0.0000 0.0000 0.0000 x1  4 As 3.01, 4 In 3.25
In 0.0000 0.0000 0.5584 x1  4 As 3.08, 4 In 3.44
In 0.5000 0.5000 0.2619 x1  4 Cd 3.25, 8 In 3.44-3.47
As 0.5000 0.5000 0.7864 x1  4 Cd 3.01, 4 In 3.08


ii) Compound: CdIn2As
Source: Alexandria
Functional: PBE
Structure: optimized geometry

a = 9.8223 Å, b = 3.9345 Å, c = 5.8664 Å
α = 90.00°, β = 111.62°, γ = 90.00°
Last column: nearest neighbours and their distance in Å.
Space group Cm (No. 8)
Asymmetric unit:
Cd 0.0000 0.0000 0.0000 x2  3 As 2.74-2.93
In 0.1194 0.5000 0.6021 x2  2 As 2.94, 3 In 2.99-3.18
In 0.3482 0.5000 0.3783 x2  2 As 2.93, 3 In 2.99-3.18, 1 Cd 3.10
As 0.2746 0.0000 0.9808 x2  3 Cd 2.74-2.93, 4 In 2.93-2.94


The most stable arrangement is ii), and the next structure is 0.051 eV/atom less stable.


i) Compound: MnHgI3
Source: Alexandria
Functional: PBE
Structure: optimized geometry

a = 5.5966 Å, b = 5.5966 Å, c = 7.6826 Å
α = 90.00°, β = 90.00°, γ = 90.00°
Last column: nearest neighbours and their distance in Å.
Space group P4mm (No. 99)
Asymmetric unit:
Mn 0.0000 0.0000 0.0000 x1  4 I 2.83
Hg 0.5000 0.5000 0.2674 x1  1 I 2.77
I 0.0000 0.5000 0.0549 x2  2 Mn 2.83
I 0.5000 0.5000 0.6281 x1  1 Hg 2.77


ii) Compound: MnHgI3
Source: Alexandria
Functional: PBE
Structure: optimized geometry

a = 4.3194 Å, b = 7.3599 Å, c = 14.2762 Å
α = 90.00°, β = 90.00°, γ = 90.00°
Last column: nearest neighbours and their distance in Å.
Space group Amm2 (No. 38)
Asymmetric unit:
Mn 0.0000 0.0000 0.0000 x2  4 I 2.57-2.73
Hg 0.5000 0.0000 0.2770 x2  6 I 3.70-3.98
I 0.0000 0.2349 0.6175 x4  1 Mn 2.57
I 0.5000 0.0000 0.8832 x2  2 Mn 2.73


The most stable arrangement is ii), and the next structure is 0.221 eV/atom less stable.